A plane-wave DFT calculation with PBE was carried out for crystalline NaOsCl2 at its relaxed geometry.

Values from the calculation:
- Relative energy among the computed polymorphs: 259 meV per atom
- Size of the total moment: 0.00 Bohr magnetons per cell
- Raw total energy: -31.01 eV/cell
- N(E_F): 2.95 states/eV/f.u.

POSCAR file:
```
NaOsCl2
1.0
5.2983 0.0000 0.0000
0.0000 5.2983 0.0000
2.6492 2.6492 6.7130
Na Os Cl
2 2 4
Direct
0.5000 0.5000 0.0000
0.2500 0.7500 0.5000
0.0000 0.0000 0.0000
0.7500 0.2500 0.5000
0.6922 0.1250 0.2500
0.0578 0.6250 0.2500
0.3750 0.3078 0.7500
0.8750 0.9422 0.7500
```